No. 1
A plane-wave DFT calculation with PBEsol was carried out for a relaxed structure of KLaZr2. Values from VASP.

Structure (Quantum ESPRESSO input):
```
&SYSTEM
  ibrav = 0, nat = 4, ntyp = 3
/
ATOMIC_SPECIES
K 39.10 K.upf
La 138.91 La.upf
Zr 91.22 Zr.upf
CELL_PARAMETERS angstrom
4.5217 0.0000 0.0000
0.0000 4.5217 0.0000
0.0000 0.0000 5.3735
ATOMIC_POSITIONS angstrom
K 0.0000 0.0000 0.0000
La 2.2609 2.2609 0.0000
Zr 0.0000 2.2609 2.6867
Zr 2.2609 0.0000 2.6867
```

Summary:
ΔE to the lowest computed polymorph (kJ/mol of formula units): 193.7
Formation energy (meV/atom): 843


No. 2
A plane-wave DFT calculation with PBEsol was carried out for a relaxed structure of KW2Br. Values from VASP.

Structure (Quantum ESPRESSO input):
```
&SYSTEM
  ibrav = 0, nat = 8, ntyp = 3
/
ATOMIC_SPECIES
K 39.10 K.upf
W 183.84 W.upf
Br 79.90 Br.upf
CELL_PARAMETERS angstrom
3.3122 0.0000 0.0000
0.0000 5.2364 0.0000
0.0000 0.0000 9.7144
ATOMIC_POSITIONS angstrom
K 0.0000 0.0000 0.0000
K 1.6561 2.6182 0.0000
W 0.0000 0.0000 4.8768
W 0.0000 2.6182 3.0565
W 1.6561 0.0000 3.0565
W 1.6561 2.6182 4.8768
Br 0.0000 2.6182 7.2201
Br 1.6561 0.0000 7.2201
```

Summary:
ΔE to the lowest computed polymorph (kJ/mol of formula units): 0.0


No. 3
A plane-wave DFT calculation with PBEsol was carried out for a relaxed structure of RbIn2Hg2. Values from VASP.

Structure (Quantum ESPRESSO input):
```
&SYSTEM
  ibrav = 0, nat = 10, ntyp = 3
/
ATOMIC_SPECIES
Rb 85.47 Rb.upf
In 114.82 In.upf
Hg 200.59 Hg.upf
CELL_PARAMETERS angstrom
9.1786 0.0000 0.0000
0.0000 9.1786 0.0000
0.0000 0.0000 3.2679
ATOMIC_POSITIONS angstrom
Rb 0.0000 0.0000 0.0000
Rb 4.5893 4.5893 0.0000
In 1.2883 3.3010 1.6340
In 3.3010 7.8903 1.6340
In 5.8776 1.2883 1.6340
In 7.8903 5.8776 1.6340
Hg 1.3788 5.9682 0.0000
Hg 3.2105 1.3788 0.0000
Hg 5.9682 7.7998 0.0000
Hg 7.7998 3.2105 0.0000
```

Summary:
ΔE to the lowest computed polymorph (kJ/mol of formula units): 32.5
Formation energy (meV/atom): -103


No. 4
A plane-wave DFT calculation with PBEsol was carried out for a relaxed structure of LaCo2Rh. Values from VASP.

Structure (Quantum ESPRESSO input):
```
&SYSTEM
  ibrav = 0, nat = 4, ntyp = 3
/
ATOMIC_SPECIES
La 138.91 La.upf
Co 58.93 Co.upf
Rh 102.91 Rh.upf
CELL_PARAMETERS angstrom
3.0118 0.0000 0.0000
0.0000 3.0118 0.0000
0.0000 0.0000 6.9118
ATOMIC_POSITIONS angstrom
La 0.0000 0.0000 0.0000
Co 0.0000 0.0000 3.6231
Co 1.5059 1.5059 4.6987
Rh 1.5059 1.5059 2.1531
```

Summary:
Formation energy (meV/atom): 135


No. 5
A plane-wave DFT calculation with PBEsol was carried out for a relaxed structure of IrI2O2. Values from VASP.

Structure (Quantum ESPRESSO input):
```
&SYSTEM
  ibrav = 0, nat = 5, ntyp = 3
/
ATOMIC_SPECIES
Ir 192.22 Ir.upf
I 126.90 I.upf
O 16.00 O.upf
CELL_PARAMETERS angstrom
4.0464 0.0000 0.0000
0.0000 4.0464 0.0000
0.0000 0.0000 5.6788
ATOMIC_POSITIONS angstrom
Ir 0.0000 0.0000 0.0000
I 0.0000 0.0000 2.8394
I 2.0232 2.0232 2.8394
O 0.0000 2.0232 0.0000
O 2.0232 0.0000 0.0000
```


No. 6
A plane-wave DFT calculation with PBEsol was carried out for a relaxed structure of LiScVO4. Values from VASP.

Structure (Quantum ESPRESSO input):
```
&SYSTEM
  ibrav = 0, nat = 14, ntyp = 4
/
ATOMIC_SPECIES
Li 6.94 Li.upf
Sc 44.96 Sc.upf
V 50.94 V.upf
O 16.00 O.upf
CELL_PARAMETERS angstrom
-2.8579 3.1106 4.2402
2.8579 -3.1106 4.2402
2.8579 3.1106 -4.2402
ATOMIC_POSITIONS angstrom
Li 0.0000 1.5553 1.0125
Li 2.8579 1.5553 3.2277
Sc 2.8579 0.0000 0.0000
Sc 0.0000 0.0000 4.2402
V 1.4289 1.5553 -2.1201
V 1.4289 -1.5553 2.1201
O 2.8579 -0.2175 2.0862
O 2.8579 2.8931 -2.0862
O 1.4955 1.5553 -0.2098
O 4.2203 1.5553 -0.2098
O -1.3624 1.5553 4.4500
O 1.3624 1.5553 4.4500
O 0.0000 0.2175 6.3264
O 0.0000 3.3281 2.1541
```


No. 7
A plane-wave DFT calculation with PBEsol was carried out for a relaxed structure of InCuRh. Values from VASP.

Structure (Quantum ESPRESSO input):
```
&SYSTEM
  ibrav = 0, nat = 3, ntyp = 3
/
ATOMIC_SPECIES
In 114.82 In.upf
Cu 63.55 Cu.upf
Rh 102.91 Rh.upf
CELL_PARAMETERS angstrom
4.2322 0.0000 0.0000
-2.1161 3.6652 0.0000
0.0000 0.0000 2.9037
ATOMIC_POSITIONS angstrom
In 0.0000 0.0000 0.0000
Cu 2.1161 1.2217 0.7084
Rh 0.0000 2.4435 1.6689
```

Summary:
ΔE to the lowest computed polymorph (kJ/mol of formula units): 10.4
Formation energy (meV/atom): -87


No. 8
A plane-wave DFT calculation with PBEsol was carried out for a relaxed structure of SrIr2. Values from VASP.

Structure (Quantum ESPRESSO input):
```
&SYSTEM
  ibrav = 0, nat = 6, ntyp = 2
/
ATOMIC_SPECIES
Sr 87.62 Sr.upf
Ir 192.22 Ir.upf
CELL_PARAMETERS angstrom
2.9142 0.0000 0.0000
0.0000 2.9142 0.0000
0.0000 0.0000 13.0962
ATOMIC_POSITIONS angstrom
Sr 0.0000 0.0000 0.0000
Sr 1.4571 1.4571 6.5481
Ir 0.0000 0.0000 4.0644
Ir 0.0000 0.0000 9.0318
Ir 1.4571 1.4571 2.4837
Ir 1.4571 1.4571 10.6125
```

Summary:
Formation energy (meV/atom): 283


| no. | calculated total energy (eV per atom) |
| --- | --- |
| 1 | -5.321 |
| 2 | -7.012 |
| 3 | -1.728 |
| 4 | -7.105 |
| 5 | -4.519 |
| 6 | -8.338 |
| 7 | -5.238 |
| 8 | -6.879 |